A geometry-optimized Sm3Dy6Er2In structure. Source: Alexandria via LeMat-Bulk, functional PBE.

a b c (Å): 6.1231 6.1231 11.6213
angles (deg): 95.06 95.06 120.03
Sites, in units of the cell vectors:
Er 0.3340 0.6660 0.0000
Sm 0.5000 0.5000 0.5000
Sm 0.1671 0.8329 0.5000
Sm 0.8329 0.1671 0.5000
Dy 0.2475 0.2475 0.7552
Er 0.6660 0.3340 0.0000
Dy 0.7525 0.7525 0.2448
Dy 0.0805 0.4088 0.2436
Dy 0.5912 0.9195 0.7564
In 0.0000 0.0000 0.0000
Dy 0.4088 0.0805 0.2436
Dy 0.9195 0.5912 0.7564

Calculated values
space group	No. 12
calculated total energy	-54.1	eV for the cell shown